## a
Compound: Li6PtAu8
Source: Alexandria
Functional: PBE-GGA
Structure: relaxed

Cell and atoms, written as POSCAR:
```
Li6PtAu8
1.0
9.815 0.000 0.000
-4.908 8.500 0.000
0.000 0.000 2.893
Li Pt Au
6 1 8
Direct
0.105 0.637 0.000 Li
0.363 0.468 0.000 Li
0.468 0.105 0.000 Li
0.532 0.895 0.000 Li
0.637 0.532 0.000 Li
0.895 0.363 0.000 Li
0.000 0.000 0.000 Pt
0.099 0.323 0.500 Au
0.223 0.901 0.500 Au
0.323 0.223 0.500 Au
0.333 0.667 0.500 Au
0.667 0.333 0.500 Au
0.677 0.777 0.500 Au
0.777 0.099 0.500 Au
0.901 0.677 0.500 Au
```


## b
Compound: Li6PtAu8
Source: Alexandria
Functional: PBE-GGA
Structure: relaxed

Cell and atoms, written as POSCAR:
```
Li6PtAu8
1.0
3.613 2.086 5.596
-3.613 2.086 5.596
0.000 -4.172 5.596
Li Pt Au
6 1 8
Direct
0.056 0.777 0.536 Li
0.223 0.464 0.944 Li
0.464 0.944 0.223 Li
0.536 0.056 0.777 Li
0.777 0.536 0.056 Li
0.944 0.223 0.464 Li
0.500 0.500 0.500 Pt
0.095 0.095 0.095 Au
0.154 0.330 0.629 Au
0.330 0.629 0.154 Au
0.371 0.846 0.670 Au
0.629 0.154 0.330 Au
0.670 0.371 0.846 Au
0.846 0.670 0.371 Au
0.905 0.905 0.905 Au
```


Which one is most stable, and which one is least stable? b is the most stable of them, while a is the least stable.


## a
Compound: Li2Pt2Au
Source: Alexandria
Functional: PBE-GGA
Structure: relaxed

Cell and atoms, written as POSCAR:
```
Li2Pt2Au
1.0
4.301 -1.988 0.000
4.301 1.988 0.000
-4.237 0.000 4.424
Li Pt Au
2 2 1
Direct
0.199 0.199 0.297 Li
0.801 0.801 0.703 Li
0.399 0.399 0.093 Pt
0.601 0.601 0.907 Pt
0.000 0.000 0.500 Au
```


## b
Compound: Li2Pt2Au
Source: Alexandria
Functional: PBE-GGA
Structure: relaxed

Cell and atoms, written as POSCAR:
```
Li2Pt2Au
1.0
-2.282 2.282 3.988
2.282 -2.282 3.988
2.282 2.282 -3.988
Li Pt Au
2 2 1
Direct
0.250 0.750 0.500 Li
0.750 0.250 0.500 Li
0.157 0.157 0.000 Pt
0.843 0.843 0.000 Pt
0.500 0.500 0.000 Au
```


## c
Compound: Li2Pt2Au
Source: Alexandria
Functional: PBE-GGA
Structure: relaxed

Cell and atoms, written as POSCAR:
```
Li2Pt2Au
1.0
7.199 0.000 0.000
0.000 7.199 0.000
0.000 0.000 2.771
Li Pt Au
4 4 2
Direct
0.119 0.381 0.000 Li
0.381 0.881 0.000 Li
0.619 0.119 0.000 Li
0.881 0.619 0.000 Li
0.179 0.679 0.500 Pt
0.321 0.179 0.500 Pt
0.679 0.821 0.500 Pt
0.821 0.321 0.500 Pt
0.000 0.000 0.000 Au
0.500 0.500 0.000 Au
```


## d
Compound: Li2Pt2Au
Source: Alexandria
Functional: PBE-GGA
Structure: relaxed

Cell and atoms, written as POSCAR:
```
Li2Pt2Au
1.0
7.181 0.000 0.000
0.000 7.181 0.000
0.000 0.000 2.881
Li Pt Au
4 4 2
Direct
0.165 0.335 0.000 Li
0.335 0.835 0.000 Li
0.665 0.165 0.000 Li
0.835 0.665 0.000 Li
0.133 0.633 0.500 Pt
0.367 0.133 0.500 Pt
0.633 0.867 0.500 Pt
0.867 0.367 0.500 Pt
0.000 0.000 0.500 Au
0.500 0.500 0.500 Au
```


Which one is most stable, and which one is least stable? a is the most stable of them, while b is the least stable.


## a
Compound: Li8PtAu2
Source: Alexandria
Functional: PBE-GGA
Structure: relaxed

Cell and atoms, written as POSCAR:
```
Li8PtAu2
1.0
7.464 -2.285 0.000
7.464 2.285 0.000
-0.401 0.000 4.885
Li Pt Au
8 1 2
Direct
0.042 0.042 0.242 Li
0.232 0.232 0.338 Li
0.329 0.329 0.921 Li
0.416 0.416 0.446 Li
0.584 0.584 0.554 Li
0.671 0.671 0.079 Li
0.768 0.768 0.662 Li
0.958 0.958 0.758 Li
0.500 0.500 0.000 Pt
0.145 0.145 0.790 Au
0.855 0.855 0.210 Au
```


## b
Compound: Li8PtAu2
Source: Alexandria
Functional: PBE-GGA
Structure: relaxed

Cell and atoms, written as POSCAR:
```
Li8PtAu2
1.0
6.951 -2.064 0.000
6.951 2.064 0.000
-1.844 0.000 5.871
Li Pt Au
8 1 2
Direct
0.037 0.037 0.252 Li
0.145 0.145 0.687 Li
0.328 0.328 0.593 Li
0.397 0.397 0.061 Li
0.603 0.603 0.939 Li
0.672 0.672 0.407 Li
0.855 0.855 0.313 Li
0.963 0.963 0.748 Li
0.500 0.500 0.500 Pt
0.216 0.216 0.153 Au
0.784 0.784 0.847 Au
```


Which one is most stable, and which one is least stable? b is the most stable of them, while a is the least stable.


## a
Compound: LiSmPtAu
Source: Alexandria
Functional: PBE-GGA
Structure: relaxed

Cell and atoms, written as POSCAR:
```
LiSmPtAu
1.0
3.843 -2.228 0.000
3.843 2.228 0.000
-2.595 0.000 4.745
Li Sm Pt Au
1 1 1 1
Direct
0.000 0.000 0.000 Li
0.492 0.492 0.474 Sm
0.712 0.712 0.137 Pt
0.278 0.278 0.831 Au
```


## b
Compound: LiSmPtAu
Source: Alexandria
Functional: PBE-GGA
Structure: relaxed

Cell and atoms, written as POSCAR:
```
LiSmPtAu
1.0
0.000 3.435 3.435
3.435 0.000 3.435
3.435 3.435 0.000
Li Sm Pt Au
1 1 1 1
Direct
0.000 0.000 0.000 Li
0.500 0.500 0.500 Sm
0.250 0.250 0.250 Pt
0.750 0.750 0.750 Au
```


Which one is most stable, and which one is least stable? a is the most stable of them, while b is the least stable.


## a
Compound: LiPu2Au6
Source: Alexandria
Functional: PBE-GGA
Structure: relaxed

Cell and atoms, written as POSCAR:
```
LiPu2Au6
1.0
8.440 0.000 0.000
-4.220 7.309 0.000
0.000 0.000 3.005
Li Pu Au
1 2 6
Direct
0.000 0.000 0.000 Li
0.333 0.667 0.000 Pu
0.667 0.333 0.000 Pu
0.000 0.329 0.500 Au
0.000 0.671 0.500 Au
0.329 0.000 0.500 Au
0.329 0.329 0.500 Au
0.671 0.000 0.500 Au
0.671 0.671 0.500 Au
```


## b
Compound: LiPu2Au6
Source: Alexandria
Functional: PBE-GGA
Structure: relaxed

Cell and atoms, written as POSCAR:
```
LiPu2Au6
1.0
6.132 0.000 0.000
-3.066 5.310 0.000
0.000 0.000 5.735
Li Pu Au
1 2 6
Direct
0.000 0.000 0.000 Li
0.333 0.667 0.841 Pu
0.667 0.333 0.159 Pu
0.175 0.351 0.308 Au
0.175 0.825 0.308 Au
0.351 0.175 0.692 Au
0.649 0.825 0.308 Au
0.825 0.175 0.692 Au
0.825 0.649 0.692 Au
```


Which one is most stable, and which one is least stable? a is the most stable of them, while b is the least stable.


## a
Compound: LiPuTlAu
Source: Alexandria
Functional: PBE-GGA
Structure: relaxed

Cell and atoms, written as POSCAR:
```
LiPuTlAu
1.0
3.296 0.000 0.000
0.000 3.296 0.000
0.000 0.000 7.846
Li Pu Tl Au
1 1 1 1
Direct
0.000 0.000 0.000 Li
0.000 0.000 0.554 Pu
0.500 0.500 0.237 Tl
0.500 0.500 0.822 Au
```


## b
Compound: LiPuTlAu
Source: Alexandria
Functional: PBE-GGA
Structure: relaxed

Cell and atoms, written as POSCAR:
```
LiPuTlAu
1.0
0.000 3.590 3.590
3.590 0.000 3.590
3.590 3.590 0.000
Li Pu Tl Au
1 1 1 1
Direct
0.000 0.000 0.000 Li
0.500 0.500 0.500 Pu
0.750 0.750 0.750 Tl
0.250 0.250 0.250 Au
```


Which one is most stable, and which one is least stable? a is the most stable of them, while b is the least stable.


## a
Compound: RbLiAu2
Source: Alexandria
Functional: PBE-GGA
Structure: relaxed

Cell and atoms, written as POSCAR:
```
RbLiAu2
1.0
3.468 0.000 0.000
0.000 3.468 0.000
0.000 0.000 7.958
Rb Li Au
1 1 2
Direct
0.000 0.000 0.000 Rb
0.000 0.000 0.500 Li
0.500 0.500 0.319 Au
0.500 0.500 0.681 Au
```


## b
Compound: RbLiAu2
Source: Alexandria
Functional: PBE-GGA
Structure: relaxed

Cell and atoms, written as POSCAR:
```
RbLiAu2
1.0
0.000 3.793 3.793
3.793 0.000 3.793
3.793 3.793 0.000
Rb Li Au
1 1 2
Direct
0.000 0.000 0.000 Rb
0.500 0.500 0.500 Li
0.250 0.250 0.250 Au
0.750 0.750 0.750 Au
```


Which one is most stable, and which one is least stable? a is the most stable of them, while b is the least stable.


## a
Compound: RbLiAu2
Source: Alexandria
Functional: PBE-GGA
Structure: relaxed

Cell and atoms, written as POSCAR:
```
RbLiAu2
1.0
2.320 1.340 6.173
-2.320 1.340 6.173
0.000 -2.679 6.173
Rb Li Au
1 1 2
Direct
0.000 0.000 0.000 Rb
0.500 0.500 0.500 Li
0.194 0.194 0.194 Au
0.806 0.806 0.806 Au
```


## b
Compound: RbLiAu2
Source: Alexandria
Functional: PBE-GGA
Structure: relaxed

Cell and atoms, written as POSCAR:
```
RbLiAu2
1.0
-2.700 2.700 8.832
2.700 -2.700 8.832
2.700 2.700 -8.832
Rb Li Au
2 2 4
Direct
0.375 0.625 0.750 Rb
0.625 0.375 0.250 Rb
0.125 0.875 0.250 Li
0.875 0.125 0.750 Li
0.000 0.000 0.000 Au
0.000 0.000 0.500 Au
0.000 0.500 0.000 Au
0.500 0.000 0.500 Au
```


Which one is most stable, and which one is least stable? a is the most stable of them, while b is the least stable.


## a
Compound: Rb2LiAu2
Source: Alexandria
Functional: PBE-GGA
Structure: relaxed

Cell and atoms, written as POSCAR:
```
Rb2LiAu2
1.0
7.729 0.000 0.000
0.000 7.729 0.000
0.000 0.000 5.419
Rb Li Au
4 2 4
Direct
0.169 0.331 0.000 Rb
0.331 0.831 0.000 Rb
0.669 0.169 0.000 Rb
0.831 0.669 0.000 Rb
0.000 0.000 0.500 Li
0.500 0.500 0.500 Li
0.134 0.634 0.500 Au
0.366 0.134 0.500 Au
0.634 0.866 0.500 Au
0.866 0.366 0.500 Au
```


## b
Compound: Rb2LiAu2
Source: Alexandria
Functional: PBE-GGA
Structure: relaxed

Cell and atoms, written as POSCAR:
```
Rb2LiAu2
1.0
6.101 -2.515 0.000
6.101 2.515 0.000
-5.745 0.000 10.484
Rb Li Au
4 2 4
Direct
0.088 0.088 0.393 Rb
0.327 0.327 0.818 Rb
0.673 0.673 0.182 Rb
0.912 0.912 0.607 Rb
0.336 0.336 0.117 Li
0.664 0.664 0.883 Li
0.087 0.087 0.947 Au
0.388 0.388 0.375 Au
0.612 0.612 0.625 Au
0.913 0.913 0.053 Au
```


Which one is most stable, and which one is least stable? b is the most stable of them, while a is the least stable.


## a
Compound: Rb2LiAu2
Source: Alexandria
Functional: PBE-GGA
Structure: relaxed

Cell and atoms, written as POSCAR:
```
Rb2LiAu2
1.0
-3.121 3.121 5.621
3.121 -3.121 5.621
3.121 3.121 -5.621
Rb Li Au
2 1 2
Direct
0.155 0.155 0.000 Rb
0.845 0.845 0.000 Rb
0.500 0.500 0.000 Li
0.250 0.750 0.500 Au
0.750 0.250 0.500 Au
```


## b
Compound: Rb2LiAu2
Source: Alexandria
Functional: PBE-GGA
Structure: relaxed

Cell and atoms, written as POSCAR:
```
Rb2LiAu2
1.0
9.746 0.000 0.000
0.000 9.746 0.000
0.000 0.000 3.828
Rb Li Au
4 2 4
Direct
0.136 0.364 0.000 Rb
0.364 0.864 0.000 Rb
0.636 0.136 0.000 Rb
0.864 0.636 0.000 Rb
0.000 0.000 0.000 Li
0.500 0.500 0.000 Li
0.164 0.664 0.500 Au
0.336 0.164 0.500 Au
0.664 0.836 0.500 Au
0.836 0.336 0.500 Au
```


Which one is most stable, and which one is least stable? b is the most stable of them, while a is the least stable.


## a
Compound: RbLi3Au
Source: Alexandria
Functional: PBE-GGA
Structure: relaxed

Cell and atoms, written as POSCAR:
```
RbLi3Au
1.0
4.979 0.000 0.000
0.000 4.979 0.000
0.000 0.000 4.979
Rb Li Au
1 3 1
Direct
0.000 0.000 0.000 Rb
0.000 0.000 0.500 Li
0.000 0.500 0.000 Li
0.500 0.000 0.000 Li
0.500 0.500 0.500 Au
```


## b
Compound: RbLi3Au
Source: Alexandria
Functional: PBE-GGA
Structure: relaxed

Cell and atoms, written as POSCAR:
```
RbLi3Au
1.0
5.246 0.000 0.000
0.000 5.246 0.000
0.000 0.000 5.246
Rb Li Au
1 3 1
Direct
0.000 0.000 0.000 Rb
0.000 0.500 0.500 Li
0.500 0.000 0.500 Li
0.500 0.500 0.000 Li
0.500 0.500 0.500 Au
```


Which one is most stable, and which one is least stable? b is the most stable of them, while a is the least stable.